CsTl2Te GGA-PBE optimized geometry; formation energy (no corrections) = -0.27 eV/atom; DFT total energy = -9.79 eV per cell; ΔE to the lowest computed polymorph = 149 meV per atom; space group = Fm-3m
1.0
5.4944 -2.1721 -0.9347
1.7201 -5.0497 2.7058
0.7345 -5.0039 -3.1938
Te Tl Cs
1 2 1
Direct
0.0000 0.0000 0.0000
0.2500 0.2500 0.2500
0.7500 0.7500 0.7500
0.5000 0.5000 0.5000